# 1
Below is a geometry-optimized SrZrMo structure, with properties calculated at the PBE level.

The structure belongs to space group Cm (No. 8); the cell edges are 9.701, 4.755 and 8.130 Å and the angles 90.00°, 103.69° and 90.00°. The asymmetric unit holds Sr at (0.000, 0.000, 0.000), Sr at (0.138, 0.500, 0.692), Zr at (0.227, 0.500, 0.238), Zr at (0.278, 0.000, 0.473), Mo at (0.446, 0.000, 0.276) and Mo at (0.478, 0.500, 0.419).

The value obtained for the formation energy is 0.521 eV/atom.

---

# 2
Below is a geometry-optimized SrZr2Mo structure, with properties calculated at the PBE level.

The structure belongs to space group Pm (No. 6); the cell edges are 3.197, 4.739 and 6.982 Å and the angles 90.00°, 100.66° and 90.00°. The asymmetric unit holds Sr at (0.000, 0.000, 0.000), Zr at (0.194, 0.000, 0.534), Zr at (0.659, 0.500, 0.342) and Mo at (0.534, 0.500, 0.695).

The value obtained for the formation energy is 0.483 eV/atom.

---

# 3
Below is a geometry-optimized SrZr2Mo structure, with properties calculated at the PBE level.

The structure belongs to space group Cmm2 (No. 35); the cell edges are 3.556, 5.209 and 10.453 Å and the angles 90.00°, 90.00° and 90.00°. The asymmetric unit holds Sr at (0.000, 0.000, 0.000), Zr at (0.000, 0.000, 0.442), Zr at (0.000, 0.500, 0.687) and Mo at (0.000, 0.500, 0.251).

The value obtained for the formation energy is 0.547 eV/atom.

---

# 4
Below is a geometry-optimized Sr2ZrMo structure, with properties calculated at the PBE level.

The structure belongs to space group Cm (No. 8); the cell edges are 8.878, 3.491 and 8.845 Å and the angles 90.00°, 94.50° and 90.00°. The asymmetric unit holds Sr at (0.000, 0.000, 0.000), Sr at (0.220, 0.000, 0.605), Zr at (0.466, 0.000, 0.332) and Mo at (0.233, 0.500, 0.263).

The value obtained for the formation energy is 0.608 eV/atom.

---

# 5
Below is a geometry-optimized Sr2ZrMo structure, with properties calculated at the PBE level.

The structure belongs to space group C2/m (No. 12); the cell edges are 6.141, 11.153 and 3.127 Å and the angles 90.00°, 94.36° and 90.00°. The asymmetric unit holds Sr at (0.250, 0.250, 0.000), Zr at (0.000, 0.000, 0.500) and Mo at (0.000, 0.500, 0.500).

The value obtained for the formation energy is 1.006 eV/atom.

---

# 6
Below is a geometry-optimized SrZrMo structure, with properties calculated at the PBE level.

The structure belongs to space group Fmm2 (No. 42); the cell edges are 3.713, 5.290 and 15.505 Å and the angles 90.00°, 90.00° and 90.00°. The asymmetric unit holds Sr at (0.000, 0.000, 0.000), Zr at (0.000, 0.000, 0.712) and Mo at (0.000, 0.000, 0.332).

The value obtained for the formation energy is 0.641 eV/atom.

---

# 7
Below is a geometry-optimized SrZrMo2 structure, with properties calculated at the PBE level.

The structure belongs to space group P4/mmm (No. 123); the cell edges are 4.126, 4.126 and 4.921 Å and the angles 90.00°, 90.00° and 90.00°. The asymmetric unit holds Sr at (0.000, 0.000, 0.000), Zr at (0.500, 0.500, 0.000) and Mo at (0.000, 0.500, 0.500).

The value obtained for the formation energy is 1.080 eV/atom.

---

# 8
Below is a geometry-optimized SrZrMo structure, with properties calculated at the PBE level.

The structure belongs to space group P1 (No. 1); the cell edges are 3.449, 5.214 and 10.958 Å and the angles 77.82°, 89.69° and 70.85°. The asymmetric unit holds Sr at (0.000, 0.000, 0.000), Sr at (0.344, 0.332, 0.294), Zr at (0.213, 0.584, 0.798), Zr at (0.734, 0.552, 0.566), Mo at (0.475, 0.057, 0.713) and Mo at (0.990, 0.028, 0.548).

The value obtained for the formation energy is 0.410 eV/atom.